No. 1
BaNaS3 | Alexandria | PBE | optimized geometry; symmetry = Pm-3m (221); relative energy among the computed polymorphs = 7.82 kcal/mol of atoms; formation energy (no corrections) = -0.142 eV/atom
1.0
5.959 0.000 0.000
0.000 5.959 0.000
0.000 0.000 5.959
Ba Na S
1 1 3
Direct
0.000 0.000 0.000 Ba
0.500 0.500 0.500 Na
0.000 0.000 0.500 S
0.000 0.500 0.000 S
0.500 0.000 0.000 S

***

No. 2
KMnRe2 | Alexandria | PBE | optimized geometry; symmetry = Pmmm (47); relative energy among the computed polymorphs = 14.55 kcal/mol of atoms
1.0
2.737 0.000 0.000
0.000 4.803 0.000
0.000 0.000 5.350
K Mn Re
1 1 2
Direct
0.000 0.000 0.000 K
0.500 0.500 0.000 Mn
0.000 0.500 0.500 Re
0.500 0.000 0.500 Re

***

No. 3
La8Rh3I4F | Alexandria | PBE | optimized geometry; symmetry = C2/m (12); formation energy (no corrections) = -1.181 eV/atom
1.0
7.291 -4.204 0.000
7.291 4.204 0.000
-4.862 0.000 8.265
La Rh I F
8 3 4 1
Direct
0.222 0.734 0.690 La
0.229 0.229 0.685 La
0.266 0.266 0.310 La
0.266 0.778 0.310 La
0.734 0.222 0.690 La
0.734 0.734 0.690 La
0.771 0.771 0.315 La
0.778 0.266 0.310 La
0.000 0.000 0.500 Rh
0.000 0.500 0.500 Rh
0.500 0.000 0.500 Rh
0.000 0.000 0.000 I
0.000 0.500 0.000 I
0.500 0.000 0.000 I
0.500 0.500 0.000 I
0.500 0.500 0.500 F

***

No. 4
LiVSnB2 | Alexandria | PBE | optimized geometry; calculated total energy = -3.70 eV per atom; symmetry = P4/mmm (123)
1.0
4.366 0.000 0.000
0.000 4.366 0.000
0.000 0.000 4.491
Li V Sn B
1 1 1 2
Direct
0.000 0.000 0.000 Li
0.500 0.500 0.000 V
0.000 0.000 0.500 Sn
0.000 0.500 0.500 B
0.500 0.000 0.500 B

***

No. 5
Ho2Sc3Rh2 | Alexandria | PBE | optimized geometry; symmetry = C2/m (12); relative energy among the computed polymorphs = 4.42 kcal/mol of atoms
1.0
11.967 0.000 0.000
0.000 3.464 0.000
-4.941 0.000 7.969
Ho Sc Rh
4 6 4
Direct
0.097 0.000 0.397 Ho
0.403 0.500 0.603 Ho
0.597 0.500 0.397 Ho
0.903 0.000 0.603 Ho
0.000 0.500 0.000 Sc
0.205 0.500 0.766 Sc
0.295 0.000 0.234 Sc
0.500 0.000 0.000 Sc
0.705 0.000 0.766 Sc
0.795 0.500 0.234 Sc
0.126 0.000 0.910 Rh
0.374 0.500 0.090 Rh
0.626 0.500 0.910 Rh
0.874 0.000 0.090 Rh

***

No. 6
Ge2O2F | Alexandria | PBE | optimized geometry; symmetry = I4/mmm (139); formation energy (no corrections) = -0.845 eV/atom
1.0
4.123 0.000 0.000
0.000 4.123 0.000
0.000 0.000 8.325
Ge O F
4 4 2
Direct
0.000 0.500 0.250 Ge
0.000 0.500 0.750 Ge
0.500 0.000 0.250 Ge
0.500 0.000 0.750 Ge
0.000 0.000 0.180 O
0.000 0.000 0.820 O
0.500 0.500 0.320 O
0.500 0.500 0.680 O
0.000 0.000 0.500 F
0.500 0.500 0.000 F

***

No. 7
CeSm2Tl | Alexandria | PBE | optimized geometry; symmetry = R3m (160); relative energy among the computed polymorphs = 2.37 kcal/mol of atoms
1.0
3.619 0.000 0.000
-1.809 3.134 0.000
0.000 0.000 33.171
Ce Sm Tl
3 6 3
Direct
0.000 0.000 0.000 Ce
0.333 0.667 0.667 Ce
0.667 0.333 0.333 Ce
0.000 0.000 0.580 Sm
0.000 0.000 0.754 Sm
0.333 0.667 0.246 Sm
0.333 0.667 0.421 Sm
0.667 0.333 0.087 Sm
0.667 0.333 0.913 Sm
0.000 0.000 0.167 Tl
0.333 0.667 0.834 Tl
0.667 0.333 0.500 Tl

***

No. 8
HfScCo4 | Alexandria | PBE | optimized geometry; calculated total energy = -7.81 eV per atom; symmetry = F-43m (216)
1.0
0.000 3.438 3.438
3.438 0.000 3.438
3.438 3.438 0.000
Hf Sc Co
1 1 4
Direct
0.000 0.000 0.000 Hf
0.250 0.250 0.250 Sc
0.125 0.625 0.625 Co
0.625 0.125 0.625 Co
0.625 0.625 0.125 Co
0.625 0.625 0.625 Co

***

| no. | total magnetic moment (μB per atom) |
| --- | --- |
| 1 | 0.600 |
| 2 | 0.929 |
| 3 | 0.000 |
| 4 | 0.021 |
| 5 | 0.000 |
| 6 | 0.000 |
| 7 | 0.309 |
| 8 | 0.460 |